This record from the Alexandria database describes an optimized crystal structure of NaSnGePb. The functional is PBE-GGA.

```
data_NaSnGePb
_cell_length_a 7.439
_cell_length_b 7.439
_cell_length_c 7.439
_cell_angle_alpha 90.00
_cell_angle_beta 90.00
_cell_angle_gamma 90.00
_symmetry_space_group_name_H-M 'F -4 3 m'
_symmetry_Int_Tables_number 216
_symmetry_space_group_name_Hall 'F -4 2 3'
loop_
_atom_site_label
_atom_site_type_symbol
_atom_site_fract_x
_atom_site_fract_y
_atom_site_fract_z
_atom_site_occupancy
Na1 Na 0.000 0.000 0.000 1
Sn1 Sn 0.250 0.250 0.750 1
Ge1 Ge 0.000 0.000 0.500 1
Pb1 Pb 0.250 0.250 0.250 1
```

- V: 25.73 A^3/atom
- Energy of formation: 61 meV/atom
- Mass density: 6.80 g/cm³
- Total DFT energy (no corrections): -3.351 eV/atom
- Total magnetic moment: 0.0 Bohr magnetons per cell

***

This record from the Alexandria database describes an optimized crystal structure of NaSrGePb2. The functional is PBE-GGA.

```
data_NaSrGePb2
_cell_length_a 5.545
_cell_length_b 5.545
_cell_length_c 5.278
_cell_angle_alpha 90.00
_cell_angle_beta 90.00
_cell_angle_gamma 90.00
_symmetry_space_group_name_H-M 'P 4/m m m'
_symmetry_Int_Tables_number 123
_symmetry_space_group_name_Hall '-P 4 2'
loop_
_atom_site_label
_atom_site_type_symbol
_atom_site_fract_x
_atom_site_fract_y
_atom_site_fract_z
_atom_site_occupancy
Na1 Na 0.000 0.000 0.000 1
Sr1 Sr 0.500 0.500 0.500 1
Ge1 Ge 0.000 0.000 0.500 1
Pb1 Pb 0.000 0.500 0.000 1
```

- V: 32.46 A^3/atom
- Energy of formation: 187 meV/atom
- Mass density: 6.11 g/cm³
- Total DFT energy (no corrections): -2.820 eV/atom
- Total magnetic moment: 0.0 Bohr magnetons per cell

***

This record from the Alexandria database describes an optimized crystal structure of NaSr2GePb. The functional is PBE-GGA.

```
data_NaSr2GePb
_cell_length_a 6.028
_cell_length_b 6.028
_cell_length_c 5.459
_cell_angle_alpha 90.00
_cell_angle_beta 90.00
_cell_angle_gamma 90.00
_symmetry_space_group_name_H-M 'P 4/m m m'
_symmetry_Int_Tables_number 123
_symmetry_space_group_name_Hall '-P 4 2'
loop_
_atom_site_label
_atom_site_type_symbol
_atom_site_fract_x
_atom_site_fract_y
_atom_site_fract_z
_atom_site_occupancy
Na1 Na 0.000 0.000 0.000 1
Sr1 Sr 0.000 0.500 0.500 1
Ge1 Ge 0.000 0.000 0.500 1
Pb1 Pb 0.500 0.500 0.000 1
```

- V: 39.67 A^3/atom
- Energy of formation: -98 meV/atom
- Mass density: 4.00 g/cm³
- Total DFT energy (no corrections): -2.700 eV/atom
- Total magnetic moment: 0.0 Bohr magnetons per cell

***

This record from the Alexandria database describes an optimized crystal structure of NaGe2Te6Pb3. The functional is PBE-GGA.

```
data_NaGe2Te6Pb3
_cell_length_a 19.353
_cell_length_b 4.428
_cell_length_c 9.034
_cell_angle_alpha 90.00
_cell_angle_beta 100.86
_cell_angle_gamma 90.00
_symmetry_space_group_name_H-M 'C 1 2/m 1'
_symmetry_Int_Tables_number 12
loop_
_symmetry_equiv_pos_as_xyz
'x,y,z'
'-x,-y,-z'
'-x,y,-z'
'x,-y,z'
'x+1/2,y+1/2,z'
'-x+1/2,-y+1/2,-z'
'-x+1/2,y+1/2,-z'
'x+1/2,-y+1/2,z'
loop_
_atom_site_label
_atom_site_type_symbol
_atom_site_fract_x
_atom_site_fract_y
_atom_site_fract_z
_atom_site_occupancy
Na1 Na 0.000 0.000 0.000 1
Ge1 Ge 0.163 0.500 0.321 1
Te1 Te 0.012 0.500 0.251 1
Te2 Te 0.169 0.000 0.109 1
Te3 Te 0.172 0.000 0.571 1
Pb1 Pb 0.000 0.000 0.500 1
Pb2 Pb 0.164 0.500 0.820 1
```

- V: 31.68 A^3/atom
- Mass density: 6.80 g/cm³
- ΔE_f (raw): -309 meV/atom
- Total DFT energy (no corrections): -3.686 eV/atom
- Total magnetic moment: 0.0 Bohr magnetons per cell

***

This record from the Alexandria database describes an optimized crystal structure of Na2GeTe4Pb. The functional is PBE-GGA.

```
data_Na2GeTe4Pb
_cell_length_a 8.579
_cell_length_b 9.153
_cell_length_c 12.563
_cell_angle_alpha 90.00
_cell_angle_beta 90.00
_cell_angle_gamma 90.00
_symmetry_space_group_name_H-M 'I m m a'
_symmetry_Int_Tables_number 74
_symmetry_space_group_name_Hall '-I 2b 2'
loop_
_atom_site_label
_atom_site_type_symbol
_atom_site_fract_x
_atom_site_fract_y
_atom_site_fract_z
_atom_site_occupancy
Na1 Na 0.000 0.000 0.000 1
Na2 Na 0.250 0.250 0.250 1
Ge1 Ge 0.250 0.250 0.750 1
Te1 Te 0.000 0.026 0.753 1
Te2 Te 0.243 0.250 0.987 1
Pb1 Pb 0.000 0.000 0.500 1
```

- V: 30.83 A^3/atom
- Mass density: 5.63 g/cm³
- ΔE_f (raw): -371 meV/atom
- Total DFT energy (no corrections): -3.313 eV/atom
- Total magnetic moment: 0.0 Bohr magnetons per cell

***

This record from the Alexandria database describes an optimized crystal structure of NaGeTe3Pb. The functional is PBE-GGA.

```
data_NaGeTe3Pb
_cell_length_a 8.803
_cell_length_b 4.869
_cell_length_c 10.478
_cell_angle_alpha 90.00
_cell_angle_beta 102.82
_cell_angle_gamma 90.00
_symmetry_space_group_name_H-M 'P 1 21/m 1'
_symmetry_Int_Tables_number 11
loop_
_symmetry_equiv_pos_as_xyz
'x,y,z'
'-x,-y,-z'
'-x,y+1/2,-z'
'x,-y+1/2,z'
loop_
_atom_site_label
_atom_site_type_symbol
_atom_site_fract_x
_atom_site_fract_y
_atom_site_fract_z
_atom_site_occupancy
Na1 Na 0.215 0.250 0.179 1
Ge1 Ge 0.091 0.250 0.611 1
Te1 Te 0.044 0.250 0.852 1
Te2 Te 0.204 0.750 0.548 1
Te3 Te 0.464 0.750 0.188 1
Pb1 Pb 0.329 0.750 0.887 1
```

- V: 36.49 A^3/atom
- Mass density: 5.20 g/cm³
- ΔE_f (raw): -347 meV/atom
- Total DFT energy (no corrections): -3.525 eV/atom
- Total magnetic moment: 0.0 Bohr magnetons per cell

***

This record from the Alexandria database describes an optimized crystal structure of NaTlGe2Pb. The functional is PBE-GGA.

```
data_NaTlGe2Pb
_cell_length_a 5.388
_cell_length_b 5.388
_cell_length_c 5.447
_cell_angle_alpha 90.00
_cell_angle_beta 90.00
_cell_angle_gamma 90.00
_symmetry_space_group_name_H-M 'P 4/m m m'
_symmetry_Int_Tables_number 123
_symmetry_space_group_name_Hall '-P 4 2'
loop_
_atom_site_label
_atom_site_type_symbol
_atom_site_fract_x
_atom_site_fract_y
_atom_site_fract_z
_atom_site_occupancy
Na1 Na 0.000 0.000 0.000 1
Tl1 Tl 0.000 0.000 0.500 1
Ge1 Ge 0.000 0.500 0.500 1
Pb1 Pb 0.500 0.500 0.000 1
```

- V: 31.63 A^3/atom
- Energy of formation: 594 meV/atom
- Mass density: 6.09 g/cm³
- Total DFT energy (no corrections): -2.732 eV/atom
- Total magnetic moment: 0.0 Bohr magnetons per cell

***

This record from the Alexandria database describes an optimized crystal structure of Na4GePd2. The functional is PBE-GGA.

```
data_Na4GePd2
_cell_length_a 8.453
_cell_length_b 9.373
_cell_length_c 4.091
_cell_angle_alpha 90.00
_cell_angle_beta 90.00
_cell_angle_gamma 90.00
_symmetry_space_group_name_H-M 'C m m m'
_symmetry_Int_Tables_number 65
_symmetry_space_group_name_Hall '-C 2 2'
loop_
_atom_site_label
_atom_site_type_symbol
_atom_site_fract_x
_atom_site_fract_y
_atom_site_fract_z
_atom_site_occupancy
Na1 Na 0.181 0.000 0.000 1
Na2 Na 0.250 0.250 0.500 1
Ge1 Ge 0.000 0.500 0.500 1
Pd1 Pd 0.000 0.347 0.000 1
```

- V: 23.15 A^3/atom
- Energy of formation: -180 meV/atom
- Mass density: 3.87 g/cm³
- Total DFT energy (no corrections): -3.077 eV/atom
- Total magnetic moment: 0.0 Bohr magnetons per cell